Sc2RhS, optimized geometry, DFT PBE-GGA; total magnetization = 0.00 μB/atom; DFT total energy = -6.89 eV/atom; space group = I-42d
1.0
-3.351 3.351 3.663
3.351 -3.351 3.663
3.351 3.351 -3.663
Sc Rh S
4 2 2
direct
0.121 0.125 0.496
0.375 0.879 0.004
0.629 0.625 0.504
0.875 0.371 0.996
0.250 0.750 0.500
0.500 0.500 0.000
0.000 0.000 0.000
0.750 0.250 0.500